MnW2Au at its PBEsol-relaxed geometry, computed with meta-GGA SCAN.

extended XYZ file:
```
4
Lattice="3.947 0.000 0.000 0.000 3.950 0.000 -1.974 -1.975 3.789" Properties=species:S:1:pos:R:3 pbc="T T T"
W 1.974 0.000 1.894
W 1.974 1.975 3.788
Au 1.974 1.975 0.000
Mn 0.000 1.975 1.895
```

Computed properties:
**N(E_F)**: 3.81 states/eV/f.u.
**Crystal system**: tetragonal
**VASP energy**: -56.44 eV/atom
**Formation energy**: 0.2568 eV/atom

---

ZrMo3 at its PBEsol-relaxed geometry, computed with meta-GGA SCAN.

extended XYZ file:
```
4
Lattice="-0.536 3.120 -0.389 -1.674 0.051 2.714 5.419 1.344 3.317" Properties=species:S:1:pos:R:3 pbc="T T T"
Zr 1.604 2.257 2.821
Mo 1.267 0.314 0.776
Mo 4.151 1.030 2.541
Mo -1.105 1.585 1.163
```

Computed properties:
**N(E_F)**: 2.78 states/eV/f.u.
**Crystal system**: tetragonal
**VASP energy**: -33.84 eV/atom
**Formation energy**: -0.0037 eV/atom

---

LaIr2 at its PBEsol-relaxed geometry, computed with meta-GGA SCAN.

extended XYZ file:
```
3
Lattice="-2.786 2.364 -2.022 -1.635 -3.490 -1.828 -1.542 1.374 3.732" Properties=species:S:1:pos:R:3 pbc="T T T"
La -1.393 1.182 -1.011
Ir -1.573 -0.247 1.879
Ir -1.604 -1.869 0.025
```

Computed properties:
**N(E_F)**: 3.66 states/eV/f.u.
**Crystal system**: hexagonal
**VASP energy**: -62.52 eV/atom
**Formation energy**: -0.7491 eV/atom

---

LiAsIr at its PBEsol-relaxed geometry, computed with meta-GGA SCAN.

extended XYZ file:
```
3
Lattice="2.826 -0.002 0.000 -1.346 2.485 0.000 -0.740 -1.241 6.410" Properties=species:S:1:pos:R:3 pbc="T T T"
Li 0.000 0.000 4.229
As 0.000 0.000 0.087
Ir 0.740 1.241 2.094
```

Computed properties:
**N(E_F)**: 1.11 states/eV/f.u.
**Crystal system**: orthorhombic
**VASP energy**: -31.25 eV/atom
**Formation energy**: -0.0233 eV/atom